Crystalline CsTa2MoO8 at its relaxed geometry, computed with PBE with a Hubbard U.

Output
DFT total energy (eV/atom): -8.234
Theoretical density (Mg/m³): 4.7

Cell lengths 5.8923, 5.8923, 8.4555 Å; angles 90.00, 90.00, 120.00 degrees
Space group P-3 (No. 147)
Unique sites:
Cs  0.0000  0.0000  0.0000 x1
Ta  0.3333  0.6667  0.7072 x2
Mo  0.0000  0.0000  0.5000 x1
O  0.1559  0.3140  0.6374 x6
O  0.3333  0.6667  0.9181 x2